CoTePdO after structural relaxation, computed with PBE with a Hubbard U.

abc: 5.8233 5.8498 7.8720
angles: 90.00 90.00 90.00
Last column: nearest neighbours and their distance in Å.
Element x y z (fractional)
Co  0.0035  0.2489  0.0086  2 O 1.93-1.94
Co  0.4965  0.7511  0.5086  2 O 1.93-1.94
Co  0.5035  0.2511  0.9914  2 O 1.93-1.94
Co  0.9965  0.7489  0.4914  2 O 1.93-1.94
Te  0.2458  0.4966  0.7506  4 Co 2.81-2.91, 4 Pd 2.84-2.87
Te  0.2542  0.5034  0.2506  4 Co 2.81-2.91, 4 Pd 2.84-2.87
Te  0.7458  0.0034  0.2494  4 Co 2.81-2.91, 4 Pd 2.84-2.87
Te  0.7542  0.9966  0.7494  4 Co 2.81-2.91, 4 Pd 2.84-2.87
Pd  0.0023  0.7511  0.0017  2 O 2.21
Pd  0.4977  0.2489  0.5017  2 O 2.21
Pd  0.5023  0.7489  0.9983  2 O 2.21
Pd  0.9977  0.2511  0.4983  2 O 2.21
O  0.2459  0.9660  0.5121  2 Co 1.93-1.94
O  0.2541  0.0340  0.0121  2 Co 1.93-1.94
O  0.7459  0.5340  0.4879  2 Co 1.93-1.94
O  0.7541  0.4660  0.9879  2 Co 1.93-1.94

Output
E above lowest polymorph = 255 meV/atom
E_tot = -76.94 eV for the cell shown